DFT (PBE with a Hubbard U) results for an optimized crystal structure of MnPO4.

Structure (extended XYZ):
```
12
Lattice="5.130 0.000 0.000 1.578 4.987 0.000 0.148 1.197 6.114" Properties=species:S:1:pos:R:3 pbc="T T T"
Mn 1.117 1.562 1.251
Mn 5.738 4.621 4.863
P 1.801 1.569 4.380
P 5.055 4.614 1.734
O 1.319 2.784 5.309
O 2.501 5.345 4.598
O 1.812 2.113 2.937
O 3.579 4.872 1.298
O 3.277 1.311 4.815
O 5.044 4.071 3.176
O 4.355 0.838 1.515
O 5.536 3.399 0.805
```

Values from the calculation:
Total DFT energy (no corrections)   -88.9 eV per cell